DFT (GGA-PBE) results for a relaxed structure of SrCdTc2.

Cell: 10.4075 10.4075 10.4075 Å, 16.25 16.25 16.25°
With the nearest neighbours (Å) after each atom.
Sites, in units of the cell vectors:
Cd  0.7500  0.7500  0.7500  6 Tc 2.93, 6 Cd 2.94
Sr  0.2500  0.2500  0.2500  6 Sr 2.94, 6 Tc 3.23
Tc  0.0060  0.0060  0.0060  3 Cd 2.93, 6 Tc 2.94, 3 Sr 3.23
Tc  0.4940  0.4940  0.4940  3 Cd 2.93, 6 Tc 2.94, 3 Sr 3.23

Computed properties:
Magnetic moment (μB/atom): 0.0003
Crystal system: trigonal
Energy of formation (kcal/mol of atoms): 23.0
E_tot (eV per atom): -4.835


DFT (GGA-PBE) results for a relaxed structure of SrCdTc3.

Cell: 5.1279 5.1279 5.1279 Å, 90.00 90.00 90.00°
With the nearest neighbours (Å) after each atom.
Sites, in units of the cell vectors:
Sr  0.5000  0.5000  0.5000  12 Tc 3.63
Tc  0.0000  0.5000  0.0000  2 Cd 2.56
Tc  0.0000  0.0000  0.5000  2 Cd 2.56
Tc  0.5000  0.0000  0.0000  2 Cd 2.56
Cd  0.0000  0.0000  0.0000  6 Tc 2.56

Computed properties:
Magnetic moment (μB/atom): 1.7723
Crystal system: cubic
Energy of formation (kcal/mol of atoms): 45.0
E above lowest polymorph (meV/atom): 0
E_tot (eV per atom): -4.787


DFT (GGA-PBE) results for a relaxed structure of SrCdTc2.

Cell: 5.6211 5.6211 5.6211 Å, 137.21 137.21 62.11°
With the nearest neighbours (Å) after each atom.
Sites, in units of the cell vectors:
Cd  0.2500  0.7500  0.5000  4 Sr 2.90, 8 Tc 3.16
Sr  0.7500  0.2500  0.5000  4 Cd 2.90, 8 Tc 3.16
Tc  0.0000  0.0000  0.0000  4 Tc 2.90, 4 Cd 3.16, 4 Sr 3.16
Tc  0.5000  0.5000  0.0000  4 Tc 2.90, 4 Cd 3.16, 4 Sr 3.16

Computed properties:
Magnetic moment (μB/atom): 0.0001
Crystal system: tetragonal
Energy of formation (kcal/mol of atoms): 22.1
E_tot (eV per atom): -4.873


DFT (GGA-PBE) results for a relaxed structure of SrCdTc2.

Cell: 8.1229 8.1229 6.3500 Å, 50.24 50.24 90.00°
With the nearest neighbours (Å) after each atom.
Sites, in units of the cell vectors:
Sr  0.5000  0.5000  0.0000  2 Cd 2.71
Sr  0.2500  0.7500  0.5000  2 Cd 2.71
Tc  0.6589  0.1250  0.2500  2 Tc 2.76, 2 Cd 2.77
Tc  0.0911  0.6250  0.2500  2 Tc 2.76, 2 Cd 2.77
Tc  0.3750  0.3411  0.7500  2 Tc 2.76, 2 Cd 2.77
Tc  0.8750  0.9089  0.7500  2 Tc 2.76, 2 Cd 2.77
Cd  0.0000  0.0000  0.0000  2 Sr 2.71, 4 Tc 2.77
Cd  0.7500  0.2500  0.5000  2 Sr 2.71, 4 Tc 2.77

Computed properties:
Magnetic moment (μB/atom): 0.3223
Crystal system: tetragonal
Energy of formation (kcal/mol of atoms): 28.5
E_tot (eV per atom): -4.598